# 1
## Nd6GaRh2Br3 (PBE)

Data for a relaxed Nd6GaRh2Br3 crystal.

```
Nd6GaRh2Br3
1.0
7.287 -0.010 -0.001
-3.650 6.307 -0.001
-1.213 -2.101 7.715
Nd Ga Rh Br
6 1 2 3
Direct
0.934 0.584 0.798 Nd
0.718 0.718 0.202 Nd
0.066 0.416 0.202 Nd
0.584 0.934 0.798 Nd
0.282 0.282 0.798 Nd
0.416 0.066 0.202 Nd
0.000 0.000 0.000 Ga
0.333 0.667 0.000 Rh
0.667 0.333 0.000 Rh
0.164 0.836 0.500 Br
0.836 0.164 0.500 Br
0.500 0.500 0.500 Br
```

* ΔE_f (raw): -0.975 eV/atom

***

# 2
## NaCdIn2Ni (PBE)

Data for a relaxed NaCdIn2Ni crystal.

```
NaCdIn2Ni
1.0
4.942 0.000 0.000
0.000 4.942 0.000
0.000 0.000 5.353
Ni Cd Na In
1 1 1 2
Direct
0.000 0.000 0.000 Ni
0.500 0.500 0.500 Cd
0.000 0.000 0.500 Na
0.000 0.500 0.000 In
0.500 0.000 0.000 In
```

* excess energy over the best structure of this formula in the dataset: 0.67 eV per formula unit
* calculated formation energy: 61 meV/atom

***

# 3
## RbBa3As (PBE)

Data for a relaxed RbBa3As crystal.

```
RbBa3As
1.0
6.628 0.000 0.000
0.000 6.628 0.000
0.000 0.000 6.628
As Ba Rb
1 3 1
Direct
0.000 0.000 0.000 As
0.000 0.500 0.000 Ba
0.000 0.000 0.500 Ba
0.500 0.000 0.000 Ba
0.500 0.500 0.500 Rb
```

* excess energy over the best structure of this formula in the dataset: 0.00 eV per formula unit
* calculated formation energy: -447 meV/atom

***

# 4
## Ce6HgGe3 (PBE)

Data for a relaxed Ce6HgGe3 crystal.

```
Ce6HgGe3
1.0
-4.186 -3.719 -4.901
-1.968 -5.537 5.881
-6.343 5.156 2.731
Ce Hg Ge
12 2 6
Direct
0.621 0.176 0.914 Ce
0.678 0.157 0.593 Ce
0.764 0.385 0.252 Ce
0.236 0.615 0.748 Ce
0.322 0.843 0.407 Ce
0.379 0.824 0.086 Ce
0.121 0.324 0.414 Ce
0.178 0.343 0.093 Ce
0.264 0.115 0.752 Ce
0.736 0.885 0.248 Ce
0.822 0.657 0.907 Ce
0.879 0.676 0.586 Ce
0.500 0.500 0.500 Hg
0.000 0.000 0.000 Hg
0.536 0.858 0.735 Ge
0.500 0.500 0.000 Ge
0.464 0.142 0.265 Ge
0.036 0.642 0.235 Ge
0.000 0.000 0.500 Ge
0.964 0.358 0.765 Ge
```

* calculated formation energy: -361 meV/atom

***

# 5
## Pu2Be4Si3Rh (PBE)

Data for a relaxed Pu2Be4Si3Rh crystal.

```
Pu2Be4Si3Rh
1.0
-2.827 0.606 2.581
1.614 -2.601 2.378
5.196 6.940 4.063
Pu Be Si Rh
2 4 3 1
Direct
0.500 0.000 0.247 Pu
0.000 0.500 0.753 Pu
0.500 0.500 0.000 Be
0.000 0.000 0.000 Be
0.500 0.000 0.631 Be
0.000 0.500 0.369 Be
0.000 0.000 0.500 Si
0.500 0.000 0.868 Si
0.000 0.500 0.132 Si
0.500 0.500 0.500 Rh
```

* ΔE_f (raw): -0.395 eV/atom

***

# 6
## ZnSiHg2 (PBE)

Data for a relaxed ZnSiHg2 crystal.

```
ZnSiHg2
1.0
-0.523 -0.803 3.058
-0.108 -2.360 -2.166
8.974 -1.466 1.151
Hg Si Zn
2 1 1
Direct
0.000 0.000 0.997 Hg
0.000 0.000 0.503 Hg
0.500 0.500 0.250 Si
0.500 0.500 0.750 Zn
```

* ΔE_f (raw): 0.388 eV/atom
* excess energy over the best structure of this formula in the dataset: 0.60 eV per formula unit

***

# 7
## LiAg2Au7 (PBE)

Data for a relaxed LiAg2Au7 crystal.

```
LiAg2Au7
1.0
-1.432 3.111 2.792
-6.349 1.185 -4.577
0.202 -5.235 5.935
Li Ag Au
1 2 7
Direct
0.000 0.000 0.000 Li
0.500 0.705 0.295 Ag
0.500 0.295 0.705 Ag
0.000 0.818 0.182 Au
0.000 0.182 0.818 Au
0.500 0.085 0.287 Au
0.500 0.915 0.713 Au
0.500 0.287 0.085 Au
0.500 0.713 0.915 Au
0.500 0.500 0.500 Au
```

* calculated formation energy: 104 meV/atom

***

# 8
## RbPm2PdO5 (PBE)

Data for a relaxed RbPm2PdO5 crystal.

```
RbPm2PdO5
1.0
-2.759 -2.171 5.821
-3.051 -5.074 -3.339
7.748 0.072 -0.270
Rb Pm Pd O
2 4 2 10
Direct
0.250 0.250 0.500 Rb
0.750 0.750 0.500 Rb
0.175 0.325 0.000 Pm
0.675 0.175 0.000 Pm
0.325 0.825 0.000 Pm
0.825 0.675 0.000 Pm
0.250 0.750 0.500 Pd
0.750 0.250 0.500 Pd
0.987 0.487 0.235 O
0.752 0.252 0.765 O
0.013 0.513 0.765 O
0.252 0.013 0.765 O
0.513 0.752 0.765 O
0.748 0.987 0.235 O
0.487 0.248 0.235 O
0.248 0.748 0.235 O
0.500 0.500 0.000 O
0.000 0.000 0.000 O
```

* ΔE_f (raw): -2.083 eV/atom